1.
A plane-wave DFT calculation with PBE-GGA was carried out for a geometry-optimized Li3GaTe structure.

Calculated values
Relative energy among the computed polymorphs: 0 meV per atom
Space-group type: Pm-3m (221)
DFT total energy: -2.6229 eV/atom
Energy relative to the elements, uncorrected: -241 meV per atom

abc: 5.159 5.159 5.159
angles: 90.00 90.00 90.00
Fractional positions:
Te 0.000 0.000 0.000
Ga 0.500 0.500 0.500
Li 0.000 0.500 0.000
Li 0.000 0.000 0.500
Li 0.500 0.000 0.000

***

2.
A plane-wave DFT calculation with PBE-GGA was carried out for a geometry-optimized BaSrO2F structure.

Calculated values
Space-group type: P4/mmm (123)
DFT total energy: -5.1053 eV/atom
Energy relative to the elements, uncorrected: -2027 meV per atom

abc: 4.856 4.856 4.864
angles: 90.00 90.00 90.00
Site moments in Bohr magnetons follow the coordinates.
Fractional positions:
Sr 0.500 0.500 0.500  -0.01
Ba 0.000 0.000 0.000  0.12
O 0.000 0.500 0.000  0.39
O 0.500 0.000 0.000  0.39
F 0.000 0.000 0.500  0.00